# 1
A plane-wave DFT calculation with PBE was carried out for crystalline BaTeOs2 at its relaxed geometry.

DOS(E_F) = 4.6 states/eV/f.u.
formation energy (no corrections) = 5.175 eV/f.u.
V = 22.18 A^3/atom
VASP energy = -22.3 eV/cell

```
data_BaTeOs2
_chemical_formula_sum 'Ba1 Te1 Os2'
_cell_length_a 3.1126
_cell_length_b 5.3073
_cell_length_c 5.3695
_cell_angle_alpha 90.00
_cell_angle_beta 90.00
_cell_angle_gamma 90.00
_symmetry_space_group_name_H-M 'P m m m'
_symmetry_Int_Tables_number 47
_symmetry_space_group_name_Hall '-P 2 2'
loop_
_atom_site_label
_atom_site_type_symbol
_atom_site_fract_x
_atom_site_fract_y
_atom_site_fract_z
_atom_site_occupancy
Ba1 Ba 0.0000 0.0000 0.0000 1
Te1 Te 0.5000 0.0000 0.5000 1
Os1 Os 0.0000 0.5000 0.5000 1
Os2 Os 0.5000 0.5000 0.0000 1
```

# 2
A plane-wave DFT calculation with PBE was carried out for crystalline BaTeOs2 at its relaxed geometry.

DOS(E_F) = 1.4 states/eV/f.u.
formation energy (no corrections) = 1.642 eV/f.u.
V = 29.68 A^3/atom
VASP energy = -51.8 eV/cell

```
data_BaTeOs2
_chemical_formula_sum 'Ba2 Te2 Os4'
_cell_length_a 10.5092
_cell_length_b 3.9848
_cell_length_c 6.4099
_cell_angle_alpha 90.00
_cell_angle_beta 117.80
_cell_angle_gamma 90.00
_symmetry_space_group_name_H-M 'C 1 2/m 1'
_symmetry_Int_Tables_number 12
_symmetry_space_group_name_Hall '-C 2y'
loop_
_atom_site_label
_atom_site_type_symbol
_atom_site_fract_x
_atom_site_fract_y
_atom_site_fract_z
_atom_site_occupancy
Ba1 Ba 0.0000 0.0000 0.0000 1
Te1 Te 0.0000 0.5000 0.5000 1
Os1 Os 0.2108 0.0000 0.5499 1
```

# 3
A plane-wave DFT calculation with PBE was carried out for crystalline BaTeOs2 at its relaxed geometry.

DOS(E_F) = 3.4 states/eV/f.u.
formation energy (no corrections) = 0.449 eV/f.u.
V = 26.19 A^3/atom
VASP energy = -81.2 eV/cell

```
data_BaTeOs2
_chemical_formula_sum 'Ba3 Te3 Os6'
_cell_length_a 4.3803
_cell_length_b 4.3803
_cell_length_c 18.9150
_cell_angle_alpha 90.00
_cell_angle_beta 90.00
_cell_angle_gamma 120.00
_symmetry_space_group_name_H-M 'R 3 m'
_symmetry_Int_Tables_number 160
_symmetry_space_group_name_Hall 'R 3 -2"'
loop_
_atom_site_label
_atom_site_type_symbol
_atom_site_fract_x
_atom_site_fract_y
_atom_site_fract_z
_atom_site_occupancy
Ba1 Ba 0.0000 0.0000 0.0000 1
Te1 Te 0.0000 0.0000 0.8026 1
Os1 Os 0.0000 0.0000 0.2076 1
Os2 Os 0.0000 0.0000 0.5411 1
```